MnZnNi2 | PBE | optimized geometry

```
MnZnNi2
1.0
2.667 0.000 0.000
0.000 2.667 0.000
0.000 0.000 6.948
Mn Ni Zn
1 2 1
Direct
0.500 0.500 0.768
0.000 0.000 0.007
0.500 0.500 0.242
0.000 0.000 0.484
```

Computed properties:
The value obtained for the formation energy is -0.018 eV/atom. The value obtained for the density of states at the Fermi level is 0.81 states/eV per atom. As for the crystal system: tetragonal.

=====

Mn2Zn2Ni3 | PBE | optimized geometry

```
Mn2Zn2Ni3
1.0
3.931 0.011 -1.098
-2.108 3.494 0.000
-0.222 -0.131 6.798
Mn Zn Ni
2 2 3
Direct
0.772 0.386 0.159
0.228 0.614 0.841
0.259 0.130 0.390
0.741 0.870 0.610
0.000 0.000 0.000
0.519 0.258 0.775
0.481 0.742 0.225
```

Computed properties:
The value obtained for the formation energy is -0.049 eV/atom. The value obtained for the density of states at the Fermi level is 0.54 states/eV per atom. As for the crystal system: triclinic.

=====

MnZnNi3 | PBE | optimized geometry

```
MnZnNi3
1.0
4.966 0.000 0.000
0.000 5.389 -3.576
0.000 0.701 8.476
Mn Zn Ni
4 4 12
Direct
0.755 0.642 0.453
0.245 0.358 0.547
0.255 0.858 0.047
0.745 0.142 0.953
0.038 0.546 0.156
0.962 0.454 0.844
0.538 0.954 0.344
0.462 0.046 0.656
0.983 0.246 0.249
0.017 0.754 0.751
0.483 0.254 0.251
0.517 0.746 0.749
0.255 0.661 0.449
0.745 0.339 0.551
0.755 0.839 0.051
0.245 0.161 0.949
0.965 0.040 0.649
0.035 0.960 0.351
0.465 0.460 0.851
0.535 0.540 0.149
```

Computed properties:
For the offset from the most stable computed form, the calculation gives 0 meV/atom. The value obtained for the formation energy is -0.075 eV/atom. The value obtained for the density of states at the Fermi level is 0.79 states/eV per atom. As for the crystal system: monoclinic.

=====

Mn2ZnNi | PBE | optimized geometry

```
Mn2ZnNi
1.0
-4.734 3.040 -6.463
-2.680 2.123 -7.857
-4.652 0.493 -7.178
Mn Ni Zn
2 1 1
Direct
0.997 0.997 0.997
0.503 0.503 0.503
0.250 0.250 0.250
0.750 0.750 0.750
```

Computed properties:
The value obtained for the formation energy is 0.143 eV/atom. The value obtained for the density of states at the Fermi level is 0.69 states/eV per atom. As for the crystal system: trigonal.

=====

MnZnNi5 | PBE | optimized geometry

```
MnZnNi5
1.0
3.513 0.000 0.000
0.000 3.513 0.000
0.000 0.000 6.998
Mn Zn Ni
1 1 5
Direct
0.000 0.000 0.500
0.500 0.500 0.000
0.000 0.500 0.752
0.000 0.500 0.248
0.500 0.000 0.752
0.500 0.000 0.248
0.500 0.500 0.500
```

Computed properties:
For the offset from the most stable computed form, the calculation gives 0 meV/atom. The value obtained for the formation energy is 0.065 eV/atom. The value obtained for the density of states at the Fermi level is 1.74 states/eV per atom. As for the crystal system: tetragonal.

=====

Mn4Zn10Ni | PBE | optimized geometry

```
Mn4Zn10Ni
1.0
1.172 0.504 5.778
2.534 -5.586 3.003
6.296 2.131 1.567
Mn Zn Ni
4 10 1
Direct
0.233 0.000 0.533
0.766 0.467 0.000
0.234 0.533 0.000
0.767 0.000 0.467
0.250 0.500 0.500
0.718 0.212 0.788
0.070 0.212 0.212
0.494 0.788 0.788
0.718 0.788 0.212
0.282 0.788 0.212
0.750 0.500 0.500
0.282 0.212 0.788
0.506 0.212 0.212
0.930 0.788 0.788
0.000 0.000 0.000
```

Computed properties:
The value obtained for the formation energy is 0.091 eV/atom. The value obtained for the density of states at the Fermi level is 0.68 states/eV per atom. As for the crystal system: tetragonal.

=====

Mn2ZnNi2 | PBE | optimized geometry

```
Mn2ZnNi2
1.0
-5.646 3.145 -2.546
-4.028 -3.954 4.050
0.139 1.722 1.819
Ni Zn Mn
4 2 4
Direct
0.190 0.690 0.500
0.690 0.810 0.500
0.810 0.310 0.500
0.310 0.190 0.500
0.000 0.000 0.000
0.500 0.500 0.000
0.397 0.897 0.000
0.897 0.603 0.000
0.603 0.103 0.000
0.103 0.397 0.000
```

Computed properties:
The value obtained for the formation energy is 0.252 eV/atom. The value obtained for the density of states at the Fermi level is 1.20 states/eV per atom. As for the crystal system: tetragonal.

=====

MnZn2Ni | PBE | optimized geometry

```
MnZn2Ni
1.0
-1.915 1.741 1.010
-0.693 -1.879 1.925
4.531 2.579 4.147
Ni Zn Mn
1 2 1
Direct
0.500 0.500 0.750
0.000 0.000 0.985
0.000 0.000 0.515
0.500 0.500 0.250
```

Computed properties:
The value obtained for the formation energy is -0.077 eV/atom. The value obtained for the density of states at the Fermi level is 0.69 states/eV per atom. As for the crystal system: tetragonal.

=====

MnZn2Ni5 | PBE | optimized geometry

```
MnZn2Ni5
1.0
-1.150 3.517 -0.234
-3.227 -0.952 1.558
4.800 -0.018 5.518
Mn Zn Ni
1 2 5
Direct
0.000 0.000 0.000
0.750 0.750 0.500
0.250 0.250 0.500
0.500 0.500 0.000
0.876 0.376 0.753
0.376 0.876 0.753
0.124 0.624 0.247
0.624 0.124 0.247
```

Computed properties:
The value obtained for the formation energy is -0.146 eV/atom. The value obtained for the density of states at the Fermi level is 0.99 states/eV per atom. As for the crystal system: tetragonal.

=====

Mn2ZnNi | PBE | optimized geometry

```
Mn2ZnNi
1.0
-0.205 2.169 4.417
-0.199 -2.796 4.050
2.499 1.254 -4.054
Mn Ni Zn
2 1 1
Direct
0.991 0.991 0.000
0.509 0.509 0.000
0.750 0.250 0.500
0.250 0.750 0.500
```

Computed properties:
The value obtained for the formation energy is 0.122 eV/atom. The value obtained for the density of states at the Fermi level is 1.28 states/eV per atom. As for the crystal system: orthorhombic.

=====

MnZn2Ni | PBE | optimized geometry

```
MnZn2Ni
1.0
-2.683 3.507 0.150
-1.012 0.720 -4.240
-0.309 -3.773 2.278
Ni Zn Mn
1 2 1
Direct
0.750 0.250 0.500
0.000 0.000 0.000
0.500 0.500 0.000
0.250 0.750 0.500
```

Computed properties:
The value obtained for the formation energy is -0.100 eV/atom. The value obtained for the density of states at the Fermi level is 0.40 states/eV per atom. As for the crystal system: tetragonal.

=====

Mn2ZnNi | PBE | optimized geometry

```
Mn2ZnNi
1.0
6.780 0.000 0.000
0.000 6.780 0.000
3.390 3.390 2.527
Ni Zn Mn
2 2 4
Direct
0.500 0.500 0.000
0.250 0.750 0.500
0.000 0.000 0.000
0.750 0.250 0.500
0.600 0.125 0.250
0.150 0.625 0.250
0.375 0.400 0.750
0.875 0.850 0.750
```

Computed properties:
The value obtained for the formation energy is 0.435 eV/atom. The value obtained for the density of states at the Fermi level is 0.54 states/eV per atom. As for the crystal system: tetragonal.